A plane-wave DFT calculation with PBE+U was carried out for a geometry-optimized RbNaFeO2 structure.

N(E_F)   0.3 states/eV/f.u.
Volume   17.865 Å³ per atom
Theoretical density   3.6 g/cm³
Uncorrected energy   -4.78 eV per atom

Lattice parameters (Å, degrees): 12.401 3.784 7.721 90.00 99.55 90.00
Space group C2/m (No. 12)
Asymmetric unit:
Rb  0.140  0.000  0.140 [4 per cell]
Na  0.186  0.000  0.563 [4 per cell]
Fe  0.042  0.500  0.677 [4 per cell]
O  0.081  0.000  0.778 [4 per cell]
O  0.121  0.500  0.433 [4 per cell]